7
Lattice="-2.698 -2.652 -2.224 3.314 -2.792 -0.690 -1.715 -6.986 6.083" Properties=species:S:1:pos:R:3 comment="YIn2F4 | the Alexandria database | GGA-PBE | relaxed" total_magnetization_mub_per_fu=0.0 raw_formation_energy_ev_per_atom=-2.7670 pbc="T T T"
Y 0.000 0.000 0.000
F 0.122 -6.487 -1.071
F -1.220 -5.945 4.241
F 1.657 -1.396 -0.345
F -1.349 -1.326 -1.112
In -0.379 -7.543 0.797
In -0.719 -4.888 2.372



11
Lattice="-4.318 0.554 -1.203 2.405 -1.852 -5.498 0.230 -6.270 0.272" Properties=species:S:1:pos:R:3 comment="YIn2F8 | the Alexandria database | GGA-PBE | relaxed" total_magnetization_mub_per_fu=0.0 raw_formation_energy_ev_per_atom=-2.8989 pbc="T T T"
Y 0.000 0.000 0.000
In 0.389 -5.056 -3.725
In -2.073 -2.512 -2.705
F 0.075 -6.244 -1.943
F -2.984 -3.814 -1.236
F 0.940 -6.790 -4.845
F -2.623 -0.778 -1.585
F 1.301 -3.754 -5.194
F -1.759 -1.324 -4.487
F -1.761 -4.399 -4.032
F 0.077 -3.169 -2.397



10
Lattice="6.759 0.000 0.000 0.000 6.759 0.000 0.000 0.000 5.320" Properties=species:S:1:pos:R:3 comment="Y2In2F | the Alexandria database | GGA-PBE | relaxed" total_magnetization_mub_per_fu=0.0 raw_formation_energy_ev_per_atom=-1.2025 pbc="T T T"
Y 2.236 5.616 0.000
Y 5.616 4.523 0.000
Y 4.523 1.143 0.000
Y 1.143 2.236 0.000
F 0.000 0.000 0.000
F 3.379 3.379 0.000
In 1.033 4.413 2.660
In 4.413 5.726 2.660
In 5.726 2.346 2.660
In 2.346 1.033 2.660